Below is a geometry-optimized BaCrFe2 structure, with properties calculated at the PBE-GGA level.

formation energy: 709 meV per atom
energy above the most stable polymorph in this dataset: 215.9 meV/atom

Structure (CIF):
```
data_BaCrFe2
_chemical_formula_sum 'Ba1 Cr1 Fe2'
_symmetry_space_group_name_H-M 'P 1 m 1'
_symmetry_Int_Tables_number 6
_cell_length_a 3.8150
_cell_length_b 3.7374
_cell_length_c 6.4900
_cell_angle_alpha 90.00
_cell_angle_beta 104.37
_cell_angle_gamma 90.00
loop_
_symmetry_equiv_pos_as_xyz
'x,y,z'
'x,-y,z'
loop_
_atom_site_label
_atom_site_fract_x
_atom_site_fract_y
_atom_site_fract_z
Ba1 0.0000 0.0000 0.0000
Cr1 0.2023 0.5000 0.5278
Fe1 0.6350 0.5000 0.3076
Fe2 0.6483 0.0000 0.5084
```

---

Below is a geometry-optimized In2Bi2Pb5 structure, with properties calculated at the PBE-GGA level.

formation energy: 86 meV per atom
energy above the most stable polymorph in this dataset: 55.9 meV/atom

Structure (CIF):
```
data_In2Bi2Pb5
_chemical_formula_sum 'In8 Bi8 Pb20'
_symmetry_space_group_name_H-M 'I m a 2'
_symmetry_Int_Tables_number 46
_cell_length_a 18.0700
_cell_length_b 7.7186
_cell_length_c 8.5999
_cell_angle_alpha 90.00
_cell_angle_beta 90.00
_cell_angle_gamma 90.00
loop_
_symmetry_equiv_pos_as_xyz
'x,y,z'
'-x,-y,z'
'-x+1/2,y,z'
'x+1/2,-y,z'
'x+1/2,y+1/2,z+1/2'
'-x+1/2,-y+1/2,z+1/2'
'-x,y+1/2,z+1/2'
'x,-y+1/2,z+1/2'
loop_
_atom_site_label
_atom_site_fract_x
_atom_site_fract_y
_atom_site_fract_z
In1 0.0686 0.0999 0.0000
Bi1 0.0000 0.0000 0.4892
Bi2 0.2500 0.6087 0.0606
Pb1 0.0953 0.7121 0.2478
Pb2 0.1556 0.1270 0.3085
Pb3 0.2500 0.9998 0.9343
```

---

Below is a geometry-optimized Ac2La3PmAs6 structure, with properties calculated at the PBE-GGA level.

formation energy: -1520 meV per atom

Structure (CIF):
```
data_Ac2La3PmAs6
_chemical_formula_sum 'Ac4 La6 Pm2 As12'
_symmetry_space_group_name_H-M 'C 1 2/m 1'
_symmetry_Int_Tables_number 12
_cell_length_a 19.2388
_cell_length_b 4.4171
_cell_length_c 8.8352
_cell_angle_alpha 90.00
_cell_angle_beta 103.26
_cell_angle_gamma 90.00
loop_
_symmetry_equiv_pos_as_xyz
'x,y,z'
'-x,-y,-z'
'-x,y,-z'
'x,-y,z'
'x+1/2,y+1/2,z'
'-x+1/2,-y+1/2,-z'
'-x+1/2,y+1/2,-z'
'x+1/2,-y+1/2,z'
loop_
_atom_site_label
_atom_site_fract_x
_atom_site_fract_y
_atom_site_fract_z
Ac1 0.1651 0.0000 0.3308
La1 0.0000 0.5000 0.5000
La2 0.1664 0.0000 0.8349
Pm1 0.0000 0.5000 0.0000
As1 0.0027 0.0000 0.7561
As2 0.1644 0.5000 0.0751
As3 0.1643 0.5000 0.5892
```

---

Below is a geometry-optimized Ba8NaCd2 structure, with properties calculated at the PBE-GGA level.

formation energy: -91 meV per atom
energy above the most stable polymorph in this dataset: 0.0 meV/atom

Structure (CIF):
```
data_Ba8NaCd2
_chemical_formula_sum 'Ba16 Na2 Cd4'
_symmetry_space_group_name_H-M 'C 1 2/m 1'
_symmetry_Int_Tables_number 12
_cell_length_a 22.0258
_cell_length_b 6.0421
_cell_length_c 8.9875
_cell_angle_alpha 90.00
_cell_angle_beta 109.52
_cell_angle_gamma 90.00
loop_
_symmetry_equiv_pos_as_xyz
'x,y,z'
'-x,-y,-z'
'-x,y,-z'
'x,-y,z'
'x+1/2,y+1/2,z'
'-x+1/2,-y+1/2,-z'
'-x+1/2,y+1/2,-z'
'x+1/2,-y+1/2,z'
loop_
_atom_site_label
_atom_site_fract_x
_atom_site_fract_y
_atom_site_fract_z
Ba1 0.0363 0.0000 0.2743
Ba2 0.0989 0.5000 0.9779
Ba3 0.1777 0.5000 0.4650
Ba4 0.1968 0.0000 0.8133
Na1 0.0000 0.5000 0.5000
Cd1 0.1851 0.0000 0.1995
```

---

Below is a geometry-optimized U2As3Pd5 structure, with properties calculated at the PBE-GGA level.

formation energy: -515 meV per atom

Structure (CIF):
```
data_U2As3Pd5
_chemical_formula_sum 'U8 As12 Pd20'
_symmetry_space_group_name_H-M 'C m c 21'
_symmetry_Int_Tables_number 36
_cell_length_a 4.4933
_cell_length_b 23.3011
_cell_length_c 6.9328
_cell_angle_alpha 90.00
_cell_angle_beta 90.00
_cell_angle_gamma 90.00
loop_
_symmetry_equiv_pos_as_xyz
'x,y,z'
'-x,-y,z+1/2'
'-x,y,z'
'x,-y,z+1/2'
'x+1/2,y+1/2,z'
'-x+1/2,-y+1/2,z+1/2'
'-x+1/2,y+1/2,z'
'x+1/2,-y+1/2,z+1/2'
loop_
_atom_site_label
_atom_site_fract_x
_atom_site_fract_y
_atom_site_fract_z
U1 0.0000 0.0185 0.0000
U2 0.0000 0.3291 0.0176
As1 0.0000 0.1077 0.6942
As2 0.0000 0.2726 0.6246
As3 0.0000 0.4495 0.8042
Pd1 0.0000 0.1116 0.2946
Pd2 0.0000 0.1931 0.9136
Pd3 0.0000 0.2330 0.3000
Pd4 0.0000 0.3776 0.5288
Pd5 0.0000 0.4467 0.1919
```

---

Below is a geometry-optimized Hf2MoSe structure, with properties calculated at the PBE-GGA level.

E_form (uncorrected): 0.205 eV/atom

Structure (CIF):
```
data_Hf2MoSe
_chemical_formula_sum 'Hf6 Mo3 Se3'
_symmetry_space_group_name_H-M 'R -3 m'
_symmetry_Int_Tables_number 166
_symmetry_space_group_name_Hall '-R 3 2"'
_cell_length_a 3.1412
_cell_length_b 3.1412
_cell_length_c 28.2803
_cell_angle_alpha 90.00
_cell_angle_beta 90.00
_cell_angle_gamma 120.00
loop_
_atom_site_label
_atom_site_fract_x
_atom_site_fract_y
_atom_site_fract_z
Hf1 0.0000 0.0000 0.0943
Mo1 0.0000 0.0000 0.0000
Se1 0.0000 0.0000 0.5000
```

---

Below is a geometry-optimized Pm4Tl2Zn structure, with properties calculated at the PBE-GGA level.

formation energy: -223 meV per atom
energy above the most stable polymorph in this dataset: 0.0 meV/atom

Structure (CIF):
```
data_Pm4Tl2Zn
_chemical_formula_sum 'Pm12 Tl6 Zn3'
_symmetry_space_group_name_H-M 'R -3 m'
_symmetry_Int_Tables_number 166
_symmetry_space_group_name_Hall '-R 3 2"'
_cell_length_a 5.3490
_cell_length_b 5.3490
_cell_length_c 25.9788
_cell_angle_alpha 90.00
_cell_angle_beta 90.00
_cell_angle_gamma 120.00
loop_
_atom_site_label
_atom_site_fract_x
_atom_site_fract_y
_atom_site_fract_z
Pm1 0.0000 0.0000 0.1242
Pm2 0.0000 0.0000 0.3752
Tl1 0.0000 0.0000 0.2501
Zn1 0.0000 0.0000 0.5000
```

---

Below is a geometry-optimized Be2Fe2Co5Si structure, with properties calculated at the PBE-GGA level.

E_form (uncorrected): -0.167 eV/atom

Structure (CIF):
```
data_Be2Fe2Co5Si
_chemical_formula_sum 'Be4 Fe4 Co10 Si2'
_symmetry_space_group_name_H-M 'P 4/m b m'
_symmetry_Int_Tables_number 127
_symmetry_space_group_name_Hall '-P 4 2ab'
_cell_length_a 8.5088
_cell_length_b 8.5088
_cell_length_c 2.8671
_cell_angle_alpha 90.00
_cell_angle_beta 90.00
_cell_angle_gamma 90.00
loop_
_atom_site_label
_atom_site_fract_x
_atom_site_fract_y
_atom_site_fract_z
Be1 0.1254 0.3746 0.0000
Fe1 0.1729 0.6729 0.0000
Co1 0.0000 0.5000 0.5000
Co2 0.0685 0.2034 0.5000
Si1 0.0000 0.0000 0.0000
```

---

Respective VASP energy values: -6.409, -3.445, -6.157, -1.776, -6.764, -8.350, -3.796, -6.700 eV/atom.
Respective calculated volume values: 22.41, 33.32, 30.45, 51.24, 18.15, 20.14, 30.65, 10.38 Å³/atom.